(1)
# TaNiIr, optimized geometry, DFT GGA-PBE
# **Formation energy**: -1.43 eV/f.u.
# **E_tot**: -9.310 eV/atom
# **Offset from the most stable computed form**: 0.0068 eV/atom
# **Calculated volume**: 15.05 A^3/atom
data_TaNiIr
_space_group_name_H-M_alt 'C m c m'
_space_group_IT_number 63
_space_group_name_Hall '-C 2c 2'
_cell_length_a 4.2281
_cell_length_b 8.6988
_cell_length_c 4.9113
_cell_angle_alpha 90.00
_cell_angle_beta 90.00
_cell_angle_gamma 90.00
loop_
_atom_site_label
_atom_site_type_symbol
_atom_site_fract_x
_atom_site_fract_y
_atom_site_fract_z
Ta1 Ta 0.0000 0.2186 0.2500
Ni1 Ni 0.0000 0.5000 0.0000
Ir1 Ir 0.0000 0.0995 0.7500


(2)
# PmNd2I8, optimized geometry, DFT GGA-PBE
# **E_tot**: -3.673 eV/atom
# **ΔE_f (raw)**: -1.247 eV/atom
# **Calculated volume**: 59.20 A^3/atom
data_PmNd2I8
_space_group_name_H-M_alt 'C 1 2/m 1'
_space_group_IT_number 12
_cell_length_a 20.2937
_cell_length_b 8.7762
_cell_length_c 7.3815
_cell_angle_alpha 90.00
_cell_angle_beta 97.80
_cell_angle_gamma 90.00
loop_
_space_group_symop_operation_xyz
'x,y,z'
'-x,-y,-z'
'-x,y,-z'
'x,-y,z'
'x+1/2,y+1/2,z'
'-x+1/2,-y+1/2,-z'
'-x+1/2,y+1/2,-z'
'x+1/2,-y+1/2,z'
loop_
_atom_site_label
_atom_site_type_symbol
_atom_site_fract_x
_atom_site_fract_y
_atom_site_fract_z
Pm1 Pm 0.0000 0.0000 0.0000
Nd1 Nd 0.1445 0.0000 0.4263
I1 I 0.0578 0.2614 0.2665
I2 I 0.1380 0.0000 0.8395
I3 I 0.2154 0.5000 0.6383


(3)
# BaHfMg2, optimized geometry, DFT GGA-PBE
# **Formation energy**: 2.28 eV/f.u.
# **E_tot**: -3.198 eV/atom
# **Offset from the most stable computed form**: 0.1504 eV/atom
# **Calculated volume**: 29.01 A^3/atom
data_BaHfMg2
_space_group_name_H-M_alt 'F -4 3 m'
_space_group_IT_number 216
_space_group_name_Hall 'F -4 2 3'
_cell_length_a 7.7428
_cell_length_b 7.7428
_cell_length_c 7.7428
_cell_angle_alpha 90.00
_cell_angle_beta 90.00
_cell_angle_gamma 90.00
loop_
_atom_site_label
_atom_site_type_symbol
_atom_site_fract_x
_atom_site_fract_y
_atom_site_fract_z
Ba1 Ba 0.0000 0.0000 0.0000
Hf1 Hf 0.2500 0.2500 0.7500
Mg1 Mg 0.0000 0.0000 0.5000
Mg2 Mg 0.2500 0.2500 0.2500


(4)
# SmAgPd, optimized geometry, DFT GGA-PBE
# **Formation energy**: -1.56 eV/f.u.
# **E_tot**: -4.775 eV/atom
# **Offset from the most stable computed form**: 0.0426 eV/atom
# **Calculated volume**: 21.57 A^3/atom
data_SmAgPd
_space_group_name_H-M_alt 'I 4 m m'
_space_group_IT_number 107
_space_group_name_Hall 'I 4 -2'
_cell_length_a 3.7381
_cell_length_b 3.7381
_cell_length_c 9.2621
_cell_angle_alpha 90.00
_cell_angle_beta 90.00
_cell_angle_gamma 90.00
loop_
_atom_site_label
_atom_site_type_symbol
_atom_site_fract_x
_atom_site_fract_y
_atom_site_fract_z
Sm1 Sm 0.0000 0.0000 0.0000
Ag1 Ag 0.0000 0.0000 0.6782
Pd1 Pd 0.0000 0.0000 0.3422


Q: Which value of E_tot does entry 3 give?
A: -3.198 eV/atom


Q: What is the calculated volume in the first record?
A: 15.05 A^3/atom


Q: Which formula does entry 3 have?
A: BaHfMg2


Q: What is the E_tot in the third record?
A: -3.198 eV/atom